The following is a SCAN calculation of Mg4Ta2O9 at its PBEsol-relaxed geometry, from Alexandria.

```
Mg4Ta2O9
1.0
-4.329 2.818 0.066
0.141 -4.457 -2.607
-4.282 -6.848 11.476
O Ta Mg
18 4 8
direct
0.971 0.653 0.585
0.653 0.682 0.415
0.000 0.712 0.250
0.000 0.288 0.750
0.712 0.712 0.750
0.971 0.318 0.085
0.318 0.347 0.915
0.288 0.288 0.250
0.029 0.682 0.915
0.712 0.000 0.250
0.318 0.971 0.415
0.347 0.318 0.585
0.682 0.029 0.585
0.653 0.971 0.915
0.288 0.000 0.750
0.682 0.653 0.085
0.029 0.347 0.415
0.347 0.029 0.085
0.000 0.000 0.857
0.000 0.000 0.357
0.000 0.000 0.643
0.000 0.000 0.143
0.667 0.333 0.483
0.333 0.667 0.517
0.667 0.333 0.983
0.333 0.667 0.810
0.667 0.333 0.190
0.333 0.667 0.017
0.333 0.667 0.310
0.667 0.333 0.690
```

## Properties
Symmetry: P-3c1
DOS(E_F) (states/eV per cell): 0.0

---

The following is a SCAN calculation of Mg2Ta2TiO8 at its PBEsol-relaxed geometry, from Alexandria.

```
Mg2Ta2TiO8
1.0
-0.308 -2.702 4.404
-2.559 -4.446 -2.907
9.616 -1.615 -0.016
Mg O Ta Ti
4 16 4 2
direct
0.752 0.126 0.547
0.748 0.578 0.453
0.252 0.422 0.547
0.248 0.874 0.453
0.461 0.090 0.369
0.387 0.549 0.380
0.113 0.944 0.133
0.067 0.410 0.117
0.433 0.293 0.883
0.887 0.831 0.380
0.933 0.590 0.883
0.039 0.721 0.631
0.567 0.707 0.117
0.539 0.910 0.631
0.961 0.279 0.369
0.113 0.169 0.620
0.613 0.451 0.620
0.887 0.056 0.867
0.387 0.810 0.867
0.613 0.190 0.133
0.227 0.044 0.772
0.773 0.956 0.228
0.273 0.272 0.228
0.727 0.728 0.772
0.250 0.604 0.000
0.750 0.396 0.000
```

## Properties
Symmetry: C2/c
DOS(E_F) (states/eV per cell): 3.5

---

The following is a SCAN calculation of Tb2MgTiO6 at its PBEsol-relaxed geometry, from Alexandria.

```
Tb2MgTiO6
1.0
-3.613 3.453 -1.718
-2.348 0.066 5.071
4.515 5.784 2.016
Mg O Tb Ti
2 12 4 2
direct
0.000 0.000 0.500
0.500 0.500 0.000
0.186 0.296 0.061
0.299 0.811 0.055
0.814 0.704 0.939
0.701 0.189 0.945
0.686 0.204 0.561
0.612 0.459 0.257
0.799 0.689 0.555
0.201 0.311 0.445
0.888 0.959 0.243
0.314 0.796 0.439
0.388 0.541 0.743
0.112 0.041 0.757
0.518 0.933 0.752
0.018 0.567 0.252
0.482 0.067 0.248
0.982 0.433 0.748
0.000 0.000 0.000
0.500 0.500 0.500
```

## Properties
Symmetry: P2_1/c
DOS(E_F) (states/eV per cell): 0.0

---

The following is a SCAN calculation of Mg2TcO at its PBEsol-relaxed geometry, from Alexandria.

```
Mg2TcO
1.0
-3.559 -1.883 3.688
-2.090 -0.126 -5.042
4.493 -3.094 -0.205
Tc Mg O
2 4 2
direct
0.500 0.750 0.250
0.000 0.000 0.000
0.605 0.375 0.480
0.105 0.230 0.625
0.895 0.520 0.125
0.395 0.875 0.770
0.000 0.500 0.500
0.500 0.250 0.750
```

## Properties
Symmetry: I-42d
DOS(E_F) (states/eV per cell): 2.0

---

The following is a SCAN calculation of Mg3Te4O11 at its PBEsol-relaxed geometry, from Alexandria.

```
Mg3Te4O11
1.0
-6.296 -3.259 4.068
2.839 -5.748 5.322
0.185 2.365 8.521
O Te Mg
22 8 6
direct
0.365 0.229 0.131
0.727 0.493 0.709
0.635 0.771 0.869
0.604 0.876 0.233
0.735 0.125 0.879
0.427 0.848 0.598
0.095 0.996 0.838
0.905 0.004 0.162
0.331 0.609 0.954
0.358 0.465 0.752
0.153 0.181 0.440
0.228 0.688 0.496
0.573 0.152 0.402
0.772 0.312 0.504
0.396 0.124 0.767
0.273 0.507 0.291
0.265 0.875 0.121
0.642 0.535 0.248
0.847 0.819 0.560
0.918 0.619 0.330
0.082 0.381 0.670
0.669 0.391 0.046
0.243 0.719 0.750
0.317 0.424 0.556
0.838 0.614 0.777
0.817 0.906 0.050
0.683 0.576 0.444
0.162 0.386 0.223
0.757 0.281 0.250
0.183 0.094 0.950
0.051 0.784 0.342
0.583 0.965 0.646
0.417 0.035 0.354
0.541 0.344 0.913
0.459 0.656 0.087
0.949 0.216 0.658
```

## Properties
Symmetry: P-1
DOS(E_F) (states/eV per cell): 0.0

---

The following is a SCAN calculation of Mg3Ti9O20 at its PBEsol-relaxed geometry, from Alexandria.

```
Mg3Ti9O20
1.0
5.201 0.001 0.000
-2.497 7.005 0.000
-1.352 -3.503 9.995
O Ti Mg
20 9 3
direct
0.124 0.216 0.636
0.990 0.079 0.360
0.254 0.876 0.689
0.062 0.688 0.313
0.750 0.375 0.687
0.433 0.811 0.182
0.376 0.285 0.864
0.251 0.629 0.818
0.885 0.786 0.871
0.453 0.016 0.499
0.045 0.498 0.000
0.757 0.129 0.820
0.530 0.979 0.000
0.630 0.718 0.640
0.937 0.309 0.180
0.014 0.915 0.129
0.488 0.580 0.364
0.512 0.422 0.136
0.566 0.187 0.311
0.954 0.517 0.501
0.923 0.647 0.682
0.080 0.347 0.813
0.769 0.039 0.187
0.420 0.152 0.685
0.241 0.965 0.318
0.582 0.852 0.813
0.170 0.777 0.000
0.268 0.534 0.187
0.735 0.467 0.315
0.831 0.223 0.499
0.668 0.279 0.000
0.332 0.724 0.501
```

## Properties
Symmetry: Cm
DOS(E_F) (states/eV per cell): 6.3

---

The following is a SCAN calculation of MgTi11O20 at its PBEsol-relaxed geometry, from Alexandria.

```
MgTi11O20
1.0
7.461 0.000 0.052
0.000 9.943 0.000
-3.462 0.000 9.801
O Ti Mg
40 22 2
direct
0.904 0.933 0.390
0.224 0.381 0.413
0.593 0.064 0.860
0.089 0.434 0.112
0.776 0.881 0.587
0.089 0.066 0.112
0.096 0.433 0.610
0.731 0.386 0.659
0.355 0.250 0.211
0.591 0.066 0.365
0.130 0.750 0.546
0.720 0.377 0.163
0.731 0.114 0.659
0.773 0.623 0.085
0.409 0.934 0.635
0.720 0.123 0.163
0.911 0.934 0.888
0.280 0.623 0.837
0.642 0.750 0.301
0.409 0.566 0.635
0.870 0.250 0.454
0.645 0.750 0.789
0.131 0.750 0.042
0.407 0.564 0.140
0.869 0.250 0.958
0.096 0.067 0.610
0.593 0.436 0.860
0.911 0.566 0.888
0.227 0.377 0.915
0.776 0.619 0.587
0.358 0.250 0.699
0.269 0.886 0.341
0.227 0.123 0.915
0.269 0.614 0.341
0.407 0.936 0.140
0.280 0.877 0.837
0.773 0.877 0.085
0.224 0.119 0.413
0.904 0.567 0.390
0.591 0.434 0.365
0.680 0.560 0.730
0.183 0.936 0.477
0.146 0.250 0.025
0.817 0.064 0.523
0.185 0.561 0.974
0.680 0.940 0.730
0.815 0.061 0.026
0.318 0.060 0.776
0.354 0.750 0.724
0.183 0.564 0.477
0.682 0.560 0.224
0.815 0.439 0.026
0.646 0.250 0.276
0.854 0.750 0.975
0.157 0.250 0.525
0.185 0.939 0.974
0.682 0.940 0.224
0.817 0.436 0.523
0.320 0.060 0.270
0.318 0.440 0.776
0.843 0.750 0.475
0.320 0.440 0.270
0.347 0.750 0.227
0.653 0.250 0.773
```

## Properties
Symmetry: P2_1/m
DOS(E_F) (states/eV per cell): 20.6

---

The following is a SCAN calculation of Mg2Ti7O15 at its PBEsol-relaxed geometry, from Alexandria.

```
Mg2Ti7O15
1.0
-2.719 3.642 2.518
-7.427 -0.974 -6.612
-3.801 -8.221 5.480
O Ti Mg
30 14 4
direct
0.023 0.067 0.396
0.315 0.566 0.938
0.575 0.114 0.485
0.544 0.750 0.098
0.649 0.567 0.270
0.083 0.880 0.183
0.977 0.567 0.604
0.456 0.250 0.902
0.977 0.933 0.604
0.023 0.433 0.396
0.871 0.750 0.418
0.240 0.388 0.152
0.917 0.380 0.817
0.917 0.120 0.817
0.685 0.066 0.062
0.129 0.250 0.582
0.351 0.067 0.730
0.797 0.250 0.240
0.425 0.614 0.515
0.685 0.434 0.062
0.425 0.886 0.515
0.760 0.612 0.848
0.649 0.933 0.270
0.351 0.433 0.730
0.240 0.112 0.152
0.083 0.620 0.183
0.575 0.386 0.485
0.315 0.934 0.938
0.203 0.750 0.760
0.760 0.888 0.848
0.609 0.062 0.880
0.937 0.068 0.213
0.391 0.938 0.120
0.275 0.062 0.544
0.162 0.250 0.768
0.725 0.938 0.456
0.838 0.750 0.232
0.391 0.562 0.120
0.063 0.568 0.787
0.063 0.932 0.787
0.725 0.562 0.456
0.937 0.432 0.213
0.609 0.438 0.880
0.275 0.438 0.544
0.510 0.750 0.899
0.172 0.750 0.564
0.828 0.250 0.436
0.490 0.250 0.101
```

## Properties
Symmetry: P2_1/m
DOS(E_F) (states/eV per cell): 10.7

---

Record-wise energy relative to the elements, uncorrected values, in kJ/mol of formula units: -4489.5 -3732.2 -3496.2 -184.5 -3045.7 -10121.2 -10003.0 -7581.8
Record-wise calculated volume values, in A^3/atom: 10.81 10.91 11.24 15.60 13.75 11.38 11.39 11.39